Entry 1:
Entry from Alexandria: crystalline AlReTe2N at its relaxed geometry (GGA-PBE).

Lattice parameters (Å, degrees): 5.4738 5.4738 3.7254 90.00 90.00 90.00
Space group P4/mmm (No. 123)
Unique sites:
Al 0.0000 0.0000 0.0000 (multiplicity 1)
Re 0.5000 0.5000 0.5000 (multiplicity 1)
Te 0.0000 0.5000 0.5000 (multiplicity 2)
N 0.5000 0.5000 0.0000 (multiplicity 1)

total magnetic moment	0.00	μB/cell
raw total energy	-5.817	eV per atom
formation energy (no corrections)	0.34	eV per atom
polymorph energy (0 for the lowest one)	0	meV per atom

=====

Entry 2:
Entry from Alexandria: crystalline NaPr3Sm2Se6 at its relaxed geometry (GGA-PBE).

Lattice parameters (Å, degrees): 18.4436 4.2189 8.4742 90.00 103.23 90.00
Space group C2/m (No. 12)
Unique sites:
Na 0.0000 0.0000 0.0000 (multiplicity 2)
Pr 0.0000 0.0000 0.5000 (multiplicity 2)
Pr 0.1630 0.5000 0.8268 (multiplicity 4)
Sm 0.1668 0.5000 0.3389 (multiplicity 4)
Se 0.0034 0.5000 0.2468 (multiplicity 4)
Se 0.1668 0.0000 0.0877 (multiplicity 4)
Se 0.1677 0.0000 0.5801 (multiplicity 4)

total magnetic moment	0.00	μB/cell
raw total energy	-5.623	eV per atom
formation energy (no corrections)	-1.79	eV per atom

=====

Copy entry 2 word for word.
Entry from Alexandria: crystalline NaPr3Sm2Se6 at its relaxed geometry (GGA-PBE).

Lattice parameters (Å, degrees): 18.4436 4.2189 8.4742 90.00 103.23 90.00
Space group C2/m (No. 12)
Unique sites:
Na 0.0000 0.0000 0.0000 (multiplicity 2)
Pr 0.0000 0.0000 0.5000 (multiplicity 2)
Pr 0.1630 0.5000 0.8268 (multiplicity 4)
Sm 0.1668 0.5000 0.3389 (multiplicity 4)
Se 0.0034 0.5000 0.2468 (multiplicity 4)
Se 0.1668 0.0000 0.0877 (multiplicity 4)
Se 0.1677 0.0000 0.5801 (multiplicity 4)

total magnetic moment	0.00	μB/cell
raw total energy	-5.623	eV per atom
formation energy (no corrections)	-1.79	eV per atom